# 1
The following is a PBE calculation of a geometry-optimized TbSeS structure, from Alexandria via LeMat-Bulk.

Output
Energy above the lowest structure with this stoichiometry, meV/atom: 344.9
Crystal system: tetragonal
D(E_F), states/eV/f.u.: 2.484
Energy relative to the elements, uncorrected, eV/atom: -1.332
Uncorrected energy, eV per atom: -5.413

Lattice parameters (Å, degrees): 5.3946 5.3946 5.3946 139.70 139.70 58.31
Fractional positions:
Tb: 0.0000 0.0000 0.0000
Se: 0.3414 0.3414 0.0000
S: 0.6279 0.6279 0.0000

***

# 2
The following is a PBE calculation of a geometry-optimized TiCo2Tc structure, from Alexandria via LeMat-Bulk.

Output
Energy above the lowest structure with this stoichiometry, meV/atom: 544.7
Crystal system: tetragonal
Formation energy from the elements, eV/atom: 0.38
D(E_F), states/eV/f.u.: 5.117
Uncorrected energy, eV per atom: -7.736

Lattice parameters (Å, degrees): 8.8749 8.8749 8.8749 156.57 156.57 33.38
Fractional positions:
Ti: 0.0000 0.0000 0.0000
Ti: 0.7500 0.2500 0.5000
Co: 0.1212 0.6250 0.9962
Co: 0.3750 0.3712 0.4962
Co: 0.6288 0.1250 0.0038
Co: 0.8750 0.8788 0.5038
Tc: 0.2500 0.7500 0.5000
Tc: 0.5000 0.5000 0.0000

***

# 3
The following is a PBE calculation of a geometry-optimized AcNdSmTm structure, from Alexandria via LeMat-Bulk.

Output
Energy above the lowest structure with this stoichiometry, meV/atom: 0.0
Crystal system: trigonal
Formation energy from the elements, eV/atom: 0.06
D(E_F), states/eV/f.u.: 4.998
Uncorrected energy, eV per atom: -4.461

Lattice parameters (Å, degrees): 3.7285 3.7285 11.9140 90.00 90.00 120.00
Fractional positions:
Ac: 0.0000 0.0000 0.0000
Nd: 0.6667 0.3333 0.7348
Sm: 0.3333 0.6667 0.4892
Tm: 0.6667 0.3333 0.2541

***

# 4
The following is a PBE calculation of a geometry-optimized Rb2LiSnI6 structure, from Alexandria via LeMat-Bulk.

Output
Energy above the lowest structure with this stoichiometry, meV/atom: 0.0
Crystal system: trigonal
D(E_F), states/eV/f.u.: 3.255
Energy relative to the elements, uncorrected, eV/atom: -0.964
Uncorrected energy, eV per atom: -2.679

Lattice parameters (Å, degrees): 15.2992 15.2992 15.2992 31.85 31.85 31.85
Fractional positions:
Rb: 0.1123 0.1123 0.1123
Rb: 0.3061 0.3061 0.3061
Rb: 0.6939 0.6939 0.6939
Rb: 0.8877 0.8877 0.8877
Li: 0.4174 0.4174 0.4174
Li: 0.5826 0.5826 0.5826
Sn: 0.0000 0.0000 0.0000
Sn: 0.5000 0.5000 0.5000
I: 0.1308 0.6244 0.6244
I: 0.2127 0.2127 0.7015
I: 0.2127 0.7015 0.2127
I: 0.2985 0.7873 0.7873
I: 0.3756 0.3756 0.8692
I: 0.3756 0.8692 0.3756
I: 0.6244 0.1308 0.6244
I: 0.6244 0.6244 0.1308
I: 0.7015 0.2127 0.2127
I: 0.7873 0.2985 0.7873
I: 0.7873 0.7873 0.2985
I: 0.8692 0.3756 0.3756